1.
Computed, not measured: a relaxed structure of GaCu2Rh at the PBE-GGA level of DFT.

Unit cell a=2.6731 b=2.6731 c=27.7444 alpha=90.00 beta=90.00 gamma=120.00
With the nearest neighbours (Å) after each atom.
Space group R-3m (No. 166, hexagonal axes)
Symmetry-distinct sites (fractional):
Ga: 0.0000 0.0000 0.0000 (multiplicity 3)  6 Cu 2.61, 6 Ga 2.67
Cu: 0.0000 0.0000 0.4094 (multiplicity 6)  1 Rh 2.51, 3 Ga 2.61, 6 Cu 2.67
Rh: 0.0000 0.0000 0.5000 (multiplicity 3)  2 Cu 2.51, 6 Rh 2.67

Computed properties:
mass density	8.70	g/cm³
calculated formation energy	0.250	eV per atom
crystal system	trigonal

2.
Computed, not measured: a relaxed structure of Ga2CuRh3 at the PBE-GGA level of DFT.

Unit cell a=3.0279 b=3.0279 c=8.9999 alpha=90.00 beta=90.00 gamma=90.00
With the nearest neighbours (Å) after each atom.
Space group P4/mmm (No. 123)
Symmetry-distinct sites (fractional):
Ga: 0.0000 0.0000 0.1743 (multiplicity 2)  8 Rh 2.56-2.65
Cu: 0.0000 0.0000 0.5000 (multiplicity 1)  8 Rh 2.63, 2 Ga 2.93
Rh: 0.5000 0.5000 0.0000 (multiplicity 1)  8 Ga 2.65, 2 Rh 2.97
Rh: 0.5000 0.5000 0.3298 (multiplicity 2)  4 Ga 2.56, 4 Cu 2.63

Computed properties:
mass density	10.30	g/cm³
calculated formation energy	-0.484	eV per atom
crystal system	tetragonal

3.
Computed, not measured: a relaxed structure of Ga2CuRh4 at the PBE-GGA level of DFT.

Unit cell a=5.9106 b=5.9106 c=5.9549 alpha=90.00 beta=90.00 gamma=90.00
With the nearest neighbours (Å) after each atom.
Space group I4/mmm (No. 139)
Symmetry-distinct sites (fractional):
Ga: 0.0000 0.5000 0.0000 (multiplicity 4)  8 Rh 2.57
Cu: 0.0000 0.0000 0.0000 (multiplicity 2)  8 Rh 2.57
Rh: 0.2500 0.2500 0.2500 (multiplicity 8)  2 Cu 2.57, 4 Ga 2.57

Computed properties:
mass density	9.81	g/cm³
calculated formation energy	-0.202	eV per atom
crystal system	tetragonal

4.
Computed, not measured: a relaxed structure of Ga2CuRh at the PBE-GGA level of DFT.

Unit cell a=4.7373 b=5.1711 c=10.3810 alpha=90.00 beta=114.06 gamma=90.00
With the nearest neighbours (Å) after each atom.
Space group P2/c (No. 13)
Symmetry-distinct sites (fractional):
Ga: 0.1722 0.1628 0.1178 (multiplicity 4)  3 Rh 2.53-2.65, 3 Cu 2.57-2.74, 1 Ga 2.83
Ga: 0.3263 0.1451 0.8719 (multiplicity 4)  3 Rh 2.53-2.61, 3 Cu 2.55-2.65, 1 Ga 2.83
Cu: 0.3249 0.3618 0.3827 (multiplicity 4)  6 Ga 2.55-2.74, 1 Cu 2.73, 3 Rh 2.78-2.83
Rh: 0.1823 0.3489 0.6321 (multiplicity 4)  6 Ga 2.53-2.65, 2 Cu 2.78-2.83

Computed properties:
mass density	8.75	g/cm³
calculated formation energy	-0.316	eV per atom
crystal system	monoclinic

5.
Computed, not measured: a relaxed structure of Ga2Cu2Rh at the PBE-GGA level of DFT.

Unit cell a=6.7983 b=6.7983 c=3.0167 alpha=90.00 beta=90.00 gamma=90.00
With the nearest neighbours (Å) after each atom.
Space group P4/mbm (No. 127)
Symmetry-distinct sites (fractional):
Ga: 0.1548 0.3452 0.0000 (multiplicity 4)  6 Cu 2.46-2.53, 2 Rh 2.57
Cu: 0.1429 0.6429 0.5000 (multiplicity 4)  6 Ga 2.46-2.53, 1 Cu 2.75
Rh: 0.0000 0.0000 0.0000 (multiplicity 2)  4 Ga 2.57

Computed properties:
mass density	8.80	g/cm³
calculated formation energy	-0.150	eV per atom
crystal system	tetragonal

6.
Computed, not measured: a relaxed structure of Ga5CuRh at the PBE-GGA level of DFT.

Unit cell a=8.5377 b=8.9189 c=6.8978 alpha=90.00 beta=91.54 gamma=90.00
With the nearest neighbours (Å) after each atom.
Space group C2/c (No. 15)
Symmetry-distinct sites (fractional):
Ga: 0.0000 0.1838 0.2500 (multiplicity 4)  2 Cu 2.38, 1 Rh 2.45, 2 Ga 2.63
Ga: 0.0941 0.3185 0.9343 (multiplicity 8)  2 Rh 2.48-2.65, 2 Ga 2.63-2.75
Ga: 0.2091 0.0772 0.7346 (multiplicity 8)  2 Cu 2.47-2.68, 1 Rh 2.50, 1 Ga 2.75
Cu: 0.0000 0.0000 0.0000 (multiplicity 4)  4 Ga 2.38-2.47
Rh: 0.0000 0.4582 0.2500 (multiplicity 4)  7 Ga 2.45-2.65

Computed properties:
mass density	6.52	g/cm³
calculated formation energy	-0.105	eV per atom
crystal system	monoclinic